A relaxed Co3Ge2 crystal, computed with GGA-PBE.

The structure in POSCAR format:
```
Co3Ge2
1.0
-3.615 -0.272 1.025
1.046 -1.510 3.289
0.247 4.917 2.178
Co Ge
3 2
Cartesian
0.000 0.000 0.000 Co
-1.284 -0.891 2.157 Co
0.124 2.458 1.089 Co
-1.624 3.515 2.130 Ge
0.587 0.511 2.205 Ge
```

Summary:
For the density of states at the Fermi level, the calculation gives 5.83 states/eV/cell. The symmetry is P-4m2 (115). The calculated total energy is -5.9267 eV/atom. The calculated volume is 15.28 A^3/atom. For the formation energy, the calculation gives 0.92 eV per formula unit. For the total moment, the calculation gives 0.4 μB per cell.